[1]
This record from Alexandria via LeMat-Bulk describes a relaxed CsCa2TcPb crystal. The functional is PBE.

Structure (POSCAR):
```
CsCa2TcPb
1.0
-1.612 -2.022 -5.261
2.991 -3.892 0.579
-4.380 -2.995 2.492
Tc Ca Cs Pb
1 2 1 1
direct
0.000 0.500 0.000
0.500 0.000 0.000
0.000 0.000 0.500
0.000 0.000 0.000
0.500 0.500 0.500
```

## Properties
space-group type = P4/mmm (123)
density of states at the Fermi level = 4.96 states/eV per cell
spin magnetization = 0.6 μB per cell
total DFT energy (no corrections) = -11.97 eV per formula unit
calculated formation energy = 1391 meV per atom



[2]
This record from Alexandria via LeMat-Bulk describes a relaxed CsCaTl2Pb crystal. The functional is PBE.

Structure (POSCAR):
```
CsCaTl2Pb
1.0
6.291 0.000 0.000
0.000 6.465 0.000
0.000 0.000 6.291
Ca Tl Pb Cs
1 2 1 1
direct
0.500 0.500 0.500
0.000 0.000 0.500
0.500 0.000 0.000
0.000 0.500 0.000
0.000 0.000 0.000
```

## Properties
space-group type = P4/mmm (123)
density of states at the Fermi level = 4.13 states/eV per cell
spin magnetization = 0.0 μB per cell
total DFT energy (no corrections) = -7.59 eV per formula unit
calculated formation energy = 741 meV per atom



[3]
This record from Alexandria via LeMat-Bulk describes a relaxed CsCaY2Pb crystal. The functional is PBE.

Structure (POSCAR):
```
CsCaY2Pb
1.0
5.687 0.000 0.000
0.000 5.715 0.000
0.000 0.000 5.687
Cs Ca Y Pb
1 1 2 1
direct
0.000 0.000 0.000
0.000 0.500 0.000
0.000 0.000 0.500
0.500 0.000 0.000
0.500 0.500 0.500
```

## Properties
space-group type = P4/mmm (123)
density of states at the Fermi level = 6.16 states/eV per cell
spin magnetization = 0.0 μB per cell
total DFT energy (no corrections) = -14.00 eV per formula unit
calculated formation energy = 1098 meV per atom



[4]
This record from Alexandria via LeMat-Bulk describes a relaxed Cs3CaPd crystal. The functional is PBE.

Structure (POSCAR):
```
Cs3CaPd
1.0
-4.433 2.417 -4.692
-4.957 0.197 4.785
1.812 6.452 1.612
Cs Ca Pd
3 1 1
direct
0.000 0.500 0.000
0.500 0.000 0.000
0.000 0.000 0.500
0.500 0.500 0.500
0.000 0.000 0.000
```

## Properties
space-group type = Pm-3m (221)
density of states at the Fermi level = 3.65 states/eV per cell
spin magnetization = 1.0 μB per cell
total DFT energy (no corrections) = -8.44 eV per formula unit
calculated formation energy = 262 meV per atom



[5]
This record from Alexandria via LeMat-Bulk describes a relaxed Cs2Ca2Pd crystal. The functional is PBE.

Structure (POSCAR):
```
Cs2Ca2Pd
1.0
7.914 0.000 0.000
0.000 7.914 0.000
0.000 0.000 7.540
Pd Ca Cs
2 4 4
direct
0.500 0.500 0.000
0.000 0.000 0.000
0.682 0.182 0.000
0.818 0.682 0.000
0.182 0.318 0.000
0.318 0.818 0.000
0.693 0.807 0.500
0.193 0.693 0.500
0.807 0.307 0.500
0.307 0.193 0.500
```

## Properties
space-group type = P4/mbm (127)
density of states at the Fermi level = 10.78 states/eV per cell
spin magnetization = 0.0 μB per cell
total DFT energy (no corrections) = -10.76 eV per formula unit
calculated formation energy = 28 meV per atom



[6]
This record from Alexandria via LeMat-Bulk describes a relaxed CsCaPd4 crystal. The functional is PBE.

Structure (POSCAR):
```
CsCaPd4
1.0
-1.785 1.323 -5.170
1.442 -3.219 -4.384
-3.875 -3.192 -2.541
Cs Ca Pd
1 1 4
direct
0.250 0.250 0.250
0.000 0.000 0.000
0.626 0.123 0.626
0.123 0.626 0.626
0.626 0.626 0.123
0.626 0.626 0.626
```

## Properties
space-group type = F-43m (216)
density of states at the Fermi level = 5.18 states/eV per cell
spin magnetization = 0.0 μB per cell
total DFT energy (no corrections) = -24.95 eV per formula unit
calculated formation energy = -221 meV per atom



[7]
This record from Alexandria via LeMat-Bulk describes a relaxed CsCa2Pd2 crystal. The functional is PBE.

Structure (POSCAR):
```
CsCa2Pd2
1.0
-4.490 -0.406 -7.602
-6.925 -3.449 4.274
-1.301 3.342 0.590
Ca Pd Cs
4 4 2
direct
0.140 0.640 0.500
0.860 0.360 0.500
0.360 0.140 0.500
0.640 0.860 0.500
0.362 0.862 0.000
0.862 0.638 0.000
0.138 0.362 0.000
0.638 0.138 0.000
0.000 0.000 0.000
0.500 0.500 0.000
```

## Properties
space-group type = P4/mbm (127)
density of states at the Fermi level = 4.07 states/eV per cell
spin magnetization = 0.0 μB per cell
total DFT energy (no corrections) = -16.67 eV per formula unit
calculated formation energy = -285 meV per atom



[8]
This record from Alexandria via LeMat-Bulk describes a relaxed CsCa3Pd crystal. The functional is PBE.

Structure (POSCAR):
```
CsCa3Pd
1.0
-3.683 -2.847 3.329
4.126 -3.714 1.389
1.470 3.294 4.443
Cs Ca Pd
1 3 1
direct
0.000 0.000 0.000
0.500 0.000 0.000
0.000 0.000 0.500
0.000 0.500 0.000
0.500 0.500 0.500
```

## Properties
relative energy among the computed polymorphs = 1.503 eV per atom
space-group type = Pm-3m (221)
density of states at the Fermi level = 7.35 states/eV per cell
spin magnetization = 0.0 μB per cell
total DFT energy (no corrections) = -5.48 eV per formula unit
calculated formation energy = 1314 meV per atom